DFT (SCAN) results for a PBEsol-optimized structure of CrSiTc2.

Unit cell a=2.9606 b=3.9274 c=4.4128 alpha=90.00 beta=90.00 gamma=90.00
Last column: nearest neighbours and their distance in Å.
Space group Pmmm (No. 47)
One atom of each set of equivalent atoms:
Cr 0.0000 0.0000 0.0000 [1 per cell]  4 Tc 2.46, 4 Si 2.66
Si 0.5000 0.0000 0.5000 [1 per cell]  4 Tc 2.46, 4 Cr 2.66
Tc 0.0000 0.5000 0.5000 [1 per cell]  4 Si 2.46, 4 Tc 2.66
Tc 0.5000 0.5000 0.0000 [1 per cell]  4 Cr 2.46, 4 Tc 2.66

Computed properties:
size of the total moment = 0.00 μB per formula unit
E = -24.774 eV per atom
ρ = 8.93 g/cm3